# TbCeDy6Tm2

A relaxed structure of TbCeDy6Tm2 (PBE, Alexandria).

Cell: 11.328 6.687 8.958 Å, 90.00 107.64 90.00°
Space group C2/m (No. 12)
One atom of each set of equivalent atoms:
Tb: 0.000 0.000 0.000 x2
Ce: 0.000 0.500 0.500 x2
Dy: 0.134 0.500 0.919 x4
Dy: 0.167 0.242 0.305 x8
Tm: 0.090 0.000 0.675 x4

Summary:
Calculated formation energy in meV per atom: 251
Mass density in g/cm3: 8.278
Fermi-level density of states in states/eV/cell: 43.0

---

# Tb6CeDy2Tm3

A relaxed structure of Tb6CeDy2Tm3 (PBE, Alexandria).

Cell: 6.131 10.616 11.722 Å, 90.00 100.04 90.00°
Space group C2/m (No. 12)
One atom of each set of equivalent atoms:
Tb: 0.248 0.000 0.248 x4
Tb: 0.250 0.166 0.751 x8
Ce: 0.000 0.000 0.500 x2
Dy: 0.000 0.333 0.500 x4
Tm: 0.000 0.167 0.000 x4
Tm: 0.000 0.500 0.000 x2

Summary:
Calculated formation energy in meV per atom: 38
Mass density in g/cm3: 8.512
Fermi-level density of states in states/eV/cell: 39.1

---

Final energy / eV per cell: -89.211; -111.758
Spin magnetization / μB per formula unit: 1.82; 1.18